Record 1
La2HgSb3Pd4, relaxed, DFT GGA-PBE; Fermi-level density of states = 0.577 states/eV/atom; space-group type = P-4m2, No. 115; ΔE_f (raw) = -790 kJ/mol of formula units
1.0
4.5886 0.0000 0.0000
0.0000 4.5886 0.0000
0.0000 0.0000 10.9608
La Hg Sb Pd
2 1 3 4
direct
0.0000 0.5000 0.2379 La
0.5000 0.0000 0.7621 La
0.0000 0.0000 0.5000 Hg
0.0000 0.5000 0.8703 Sb
0.5000 0.0000 0.1297 Sb
0.5000 0.5000 0.5000 Sb
0.0000 0.0000 0.0000 Pd
0.0000 0.5000 0.6355 Pd
0.5000 0.0000 0.3645 Pd
0.5000 0.5000 0.0000 Pd

Record 2
PuPaRh4, relaxed, DFT GGA-PBE; Fermi-level density of states = 2.161 states/eV/atom; DFT formation energy = -1.390 eV per formula unit; space-group type = Pmma, No. 51
1.0
8.1537 0.0000 0.0000
0.0000 3.8420 0.0000
0.0000 0.0000 6.9729
Pu Pa Rh
2 2 8
direct
0.2500 0.0000 0.1738 Pu
0.7500 0.0000 0.8262 Pu
0.2500 0.0000 0.7579 Pa
0.7500 0.0000 0.2421 Pa
0.0000 0.0000 0.5000 Rh
0.0250 0.5000 0.8125 Rh
0.2500 0.5000 0.4335 Rh
0.4750 0.5000 0.8125 Rh
0.5000 0.0000 0.5000 Rh
0.5250 0.5000 0.1875 Rh
0.7500 0.5000 0.5665 Rh
0.9750 0.5000 0.1875 Rh

Record 3
MgRh2, relaxed, DFT GGA-PBE; Fermi-level density of states = 1.303 states/eV/atom; DFT formation energy = -0.676 eV per formula unit; space-group type = I4/mmm, No. 139
1.0
2.8025 0.0000 0.0000
0.0000 2.8025 0.0000
0.0000 0.0000 11.5440
Mg Rh
2 4
direct
0.0000 0.0000 0.0000 Mg
0.5000 0.5000 0.5000 Mg
0.0000 0.0000 0.3273 Rh
0.0000 0.0000 0.6727 Rh
0.5000 0.5000 0.1727 Rh
0.5000 0.5000 0.8273 Rh